Material: Li3Fe2CoO6
Method: DFT, GGA+U
State: optimized geometry

Computed properties:
Crystal system   triclinic
Volume   8.6 Å³/atom
Energy   -0.4188 Ry per atom
M_tot   0.0 μB/f.u.

a b c (Å): 5.0209 5.0699 5.0213
angles (deg): 99.47 120.57 70.44
Site moments in Bohr magnetons follow the coordinates.
Positions (direct):
Li1 0.0066 0.9980 0.0050  0.00
Co1 0.1666 0.5000 0.3333  1.88
O1 0.7650 0.7144 0.0028  -0.01
O2 0.5683 0.2856 0.6638  -0.01
O3 0.2420 0.2744 0.9938  0.09
Fe1 0.4988 0.5001 0.0010  -1.12
Fe2 0.8345 0.4999 0.6656  -1.12
O4 0.4306 0.7258 0.3342  0.09
O5 0.9027 0.2742 0.3325  0.09
Li2 0.6667 0.0000 0.3335  0.01
O6 0.0913 0.7256 0.6728  0.09
Li3 0.3270 0.0020 0.6617  0.00